1.
TmCdHg: optimized geometry, PBE.

- ρ (g cm⁻³) = 11.2
- Fermi-level density of states (states/eV/f.u.) = 1.531
- formation energy from the elements (eV/f.u.) = -1.0
- total magnetization (μB per atom) = 0.00
- electronic total energy (eV/atom) = -2.23

CIF file:
```
data_TmCdHg
_space_group_name_H-M_alt 'P -6 m 2'
_space_group_IT_number 187
_space_group_name_Hall 'P -6 2'
_cell_length_a 4.9226
_cell_length_b 4.9226
_cell_length_c 3.3964
_cell_angle_alpha 90.00
_cell_angle_beta 90.00
_cell_angle_gamma 120.00
loop_
_atom_site_label
_atom_site_type_symbol
_atom_site_fract_x
_atom_site_fract_y
_atom_site_fract_z
Tm1 Tm 0.0000 0.0000 0.0000
Cd1 Cd 0.3333 0.6667 0.5000
Hg1 Hg 0.6667 0.3333 0.5000
```

2.
AcSmNbN3: optimized geometry, PBE.

- ρ (g cm⁻³) = 7.4
- Fermi-level density of states (states/eV/f.u.) = 2.500
- formation energy from raw total energies (eV/atom) = -0.991
- total magnetization (μB per atom) = 0.07
- electronic total energy (eV/atom) = -8.30

CIF file:
```
data_AcSmNbN3
_space_group_name_H-M_alt 'P 1 21/m 1'
_space_group_IT_number 11
_space_group_name_Hall '-P 2yb'
_cell_length_a 7.9726
_cell_length_b 3.6145
_cell_length_c 7.9865
_cell_angle_alpha 90.00
_cell_angle_beta 96.73
_cell_angle_gamma 90.00
loop_
_atom_site_label
_atom_site_type_symbol
_atom_site_fract_x
_atom_site_fract_y
_atom_site_fract_z
Ac1 Ac 0.1735 0.2500 0.1739
Sm1 Sm 0.1604 0.2500 0.6159
Nb1 Nb 0.4063 0.7500 0.8900
N1 N 0.1286 0.7500 0.4007
N2 N 0.1583 0.7500 0.8697
N3 N 0.4814 0.7500 0.1623
```

3.
TiAlPd5: optimized geometry, PBE.

- ρ (g cm⁻³) = 9.1
- Fermi-level density of states (states/eV/f.u.) = 2.197
- polymorph energy (0 for the lowest one) (meV/atom) = 0
- formation energy from the elements (eV/f.u.) = -4.6
- total magnetization (μB per atom) = 0.00
- electronic total energy (eV/atom) = -6.03

CIF file:
```
data_TiAlPd5
_space_group_name_H-M_alt 'P 4/m m m'
_space_group_IT_number 123
_space_group_name_Hall '-P 4 2'
_cell_length_a 3.9933
_cell_length_b 3.9933
_cell_length_c 6.9104
_cell_angle_alpha 90.00
_cell_angle_beta 90.00
_cell_angle_gamma 90.00
loop_
_atom_site_label
_atom_site_type_symbol
_atom_site_fract_x
_atom_site_fract_y
_atom_site_fract_z
Ti1 Ti 0.0000 0.0000 0.0000
Al1 Al 0.5000 0.5000 0.5000
Pd1 Pd 0.0000 0.5000 0.2779
Pd2 Pd 0.5000 0.5000 0.0000
```

4.
Er2PBr3: optimized geometry, PBE.

- ρ (g cm⁻³) = 4.9
- Fermi-level density of states (states/eV/f.u.) = 0.000
- formation energy from raw total energies (eV/atom) = -1.615
- total magnetization (μB per atom) = 0.00
- electronic total energy (eV/atom) = -4.87

CIF file:
```
data_Er2PBr3
_space_group_name_H-M_alt 'C 1 2/m 1'
_space_group_IT_number 12
_space_group_name_Hall '-C 2y'
_cell_length_a 19.3414
_cell_length_b 4.1208
_cell_length_c 13.6520
_cell_angle_alpha 90.00
_cell_angle_beta 130.65
_cell_angle_gamma 90.00
loop_
_atom_site_label
_atom_site_type_symbol
_atom_site_fract_x
_atom_site_fract_y
_atom_site_fract_z
Er1 Er 0.0931 0.0000 0.4734
Er2 Er 0.1348 0.5000 0.8209
P1 P 0.0902 0.0000 0.6676
Br1 Br 0.0461 0.5000 0.2757
Br2 Br 0.1704 0.0000 0.0114
Br3 Br 0.2249 0.5000 0.6076
```

5.
Ti3AsRh: optimized geometry, PBE.

- ρ (g cm⁻³) = 5.5
- Fermi-level density of states (states/eV/f.u.) = 4.333
- polymorph energy (0 for the lowest one) (meV/atom) = 33
- formation energy from the elements (eV/f.u.) = 1.2
- total magnetization (μB per atom) = 0.00
- electronic total energy (eV/atom) = -6.90

CIF file:
```
data_Ti3AsRh
_space_group_name_H-M_alt 'P m -3 m'
_space_group_IT_number 221
_space_group_name_Hall '-P 4 2 3'
_cell_length_a 4.6028
_cell_length_b 4.6028
_cell_length_c 4.6028
_cell_angle_alpha 90.00
_cell_angle_beta 90.00
_cell_angle_gamma 90.00
loop_
_atom_site_label
_atom_site_type_symbol
_atom_site_fract_x
_atom_site_fract_y
_atom_site_fract_z
Ti1 Ti 0.0000 0.0000 0.5000
As1 As 0.0000 0.0000 0.0000
Rh1 Rh 0.5000 0.5000 0.5000
```

6.
Na3LiMn: optimized geometry, PBE.

- ρ (g cm⁻³) = 1.3
- Fermi-level density of states (states/eV/f.u.) = 3.676
- polymorph energy (0 for the lowest one) (meV/atom) = 16
- formation energy from the elements (eV/f.u.) = 3.6
- total magnetization (μB per atom) = 0.90
- electronic total energy (eV/atom) = -2.28

CIF file:
```
data_Na3LiMn
_space_group_name_H-M_alt 'P m -3 m'
_space_group_IT_number 221
_space_group_name_Hall '-P 4 2 3'
_cell_length_a 5.4648
_cell_length_b 5.4648
_cell_length_c 5.4648
_cell_angle_alpha 90.00
_cell_angle_beta 90.00
_cell_angle_gamma 90.00
loop_
_atom_site_label
_atom_site_type_symbol
_atom_site_fract_x
_atom_site_fract_y
_atom_site_fract_z
Na1 Na 0.0000 0.0000 0.5000
Li1 Li 0.0000 0.0000 0.0000
Mn1 Mn 0.5000 0.5000 0.5000
```

7.
Nd3Sm3Zn2Ga: optimized geometry, PBE.

- ρ (g cm⁻³) = 7.2
- Fermi-level density of states (states/eV/f.u.) = 11.783
- formation energy from the elements (eV/f.u.) = -1.8
- total magnetization (μB per atom) = 0.00
- electronic total energy (eV/atom) = -3.98

CIF file:
```
data_Nd3Sm3Zn2Ga
_space_group_name_H-M_alt 'P -6 2 m'
_space_group_IT_number 189
_space_group_name_Hall 'P -6 -2'
_cell_length_a 8.8225
_cell_length_b 8.8225
_cell_length_c 3.7253
_cell_angle_alpha 90.00
_cell_angle_beta 90.00
_cell_angle_gamma 120.00
loop_
_atom_site_label
_atom_site_type_symbol
_atom_site_fract_x
_atom_site_fract_y
_atom_site_fract_z
Nd1 Nd 0.0000 0.7237 0.0000
Sm1 Sm 0.0000 0.3923 0.5000
Zn1 Zn 0.3333 0.6667 0.0000
Ga1 Ga 0.0000 0.0000 0.5000
```

8.
AlAg5: optimized geometry, PBE.

- ρ (g cm⁻³) = 9.0
- Fermi-level density of states (states/eV/f.u.) = 1.039
- polymorph energy (0 for the lowest one) (meV/atom) = 3
- formation energy from the elements (eV/f.u.) = -0.1
- total magnetization (μB per atom) = 0.00
- electronic total energy (eV/atom) = -3.02

CIF file:
```
data_AlAg5
_space_group_name_H-M_alt 'C 1 m 1'
_space_group_IT_number 8
_space_group_name_Hall 'C -2y'
_cell_length_a 10.4608
_cell_length_b 3.0069
_cell_length_c 6.9910
_cell_angle_alpha 90.00
_cell_angle_beta 107.17
_cell_angle_gamma 90.00
loop_
_atom_site_label
_atom_site_type_symbol
_atom_site_fract_x
_atom_site_fract_y
_atom_site_fract_z
Al1 Al 0.0000 0.0000 0.0000
Ag1 Ag 0.1116 0.5000 0.7556
Ag2 Ag 0.1605 0.5000 0.3183
Ag3 Ag 0.2966 0.0000 0.0746
Ag4 Ag 0.3274 0.0000 0.6722
Ag5 Ag 0.4537 0.5000 0.4142
```

9.
Ac2Pr5Ru4: optimized geometry, PBE.

- ρ (g cm⁻³) = 7.6
- Fermi-level density of states (states/eV/f.u.) = 8.998
- formation energy from the elements (eV/f.u.) = 0.5
- total magnetization (μB per atom) = 0.00
- electronic total energy (eV/atom) = -6.25

CIF file:
```
data_Ac2Pr5Ru4
_space_group_name_H-M_alt 'C 1 2/m 1'
_space_group_IT_number 12
_space_group_name_Hall '-C 2y'
_cell_length_a 12.8924
_cell_length_b 6.8812
_cell_length_c 9.6354
_cell_angle_alpha 90.00
_cell_angle_beta 127.30
_cell_angle_gamma 90.00
loop_
_atom_site_label
_atom_site_type_symbol
_atom_site_fract_x
_atom_site_fract_y
_atom_site_fract_z
Ac1 Ac 0.2238 0.0000 0.1150
Pr1 Pr 0.0000 0.5000 0.0000
Pr2 Pr 0.0763 0.2416 0.4032
Ru1 Ru 0.1622 0.0000 0.7881
Ru2 Ru 0.2117 0.5000 0.3332
```

10.
La3TbSm2Te6: optimized geometry, PBE.

- ρ (g cm⁻³) = 7.1
- Fermi-level density of states (states/eV/f.u.) = 7.453
- formation energy from raw total energies (eV/atom) = -1.481
- total magnetization (μB per atom) = 0.00
- electronic total energy (eV/atom) = -5.46

CIF file:
```
data_La3TbSm2Te6
_space_group_name_H-M_alt 'C 1 2/m 1'
_space_group_IT_number 12
_space_group_name_Hall '-C 2y'
_cell_length_a 19.6051
_cell_length_b 4.4870
_cell_length_c 9.0353
_cell_angle_alpha 90.00
_cell_angle_beta 103.34
_cell_angle_gamma 90.00
loop_
_atom_site_label
_atom_site_type_symbol
_atom_site_fract_x
_atom_site_fract_y
_atom_site_fract_z
La1 La 0.0000 0.0000 0.0000
La2 La 0.1683 0.5000 0.3336
Tb1 Tb 0.0000 0.0000 0.5000
Sm1 Sm 0.1673 0.5000 0.8340
Te1 Te 0.0015 0.5000 0.7404
Te2 Te 0.1624 0.0000 0.5872
Te3 Te 0.1684 0.0000 0.0780
```

11.
TlAsNF2: optimized geometry, PBE.

- ρ (g cm⁻³) = 6.2
- Fermi-level density of states (states/eV/f.u.) = 2.505
- polymorph energy (0 for the lowest one) (meV/atom) = 852
- formation energy from raw total energies (eV/atom) = 0.177
- total magnetization (μB per atom) = 0.19
- electronic total energy (eV/atom) = -3.64

CIF file:
```
data_TlAsNF2
_space_group_name_H-M_alt 'P 4/m m m'
_space_group_IT_number 123
_space_group_name_Hall '-P 4 2'
_cell_length_a 4.4363
_cell_length_b 4.4363
_cell_length_c 4.4729
_cell_angle_alpha 90.00
_cell_angle_beta 90.00
_cell_angle_gamma 90.00
loop_
_atom_site_label
_atom_site_type_symbol
_atom_site_fract_x
_atom_site_fract_y
_atom_site_fract_z
Tl1 Tl 0.0000 0.0000 0.0000
As1 As 0.5000 0.5000 0.5000
N1 N 0.0000 0.0000 0.5000
F1 F 0.0000 0.5000 0.0000
```

12.
SiTe2W: optimized geometry, PBE.

- ρ (g cm⁻³) = 8.7
- Fermi-level density of states (states/eV/f.u.) = 2.796
- formation energy from raw total energies (eV/atom) = 0.567
- total magnetization (μB per atom) = 0.00
- electronic total energy (eV/atom) = -5.60

CIF file:
```
data_SiTe2W
_space_group_name_H-M_alt 'C m m 2'
_space_group_IT_number 35
_space_group_name_Hall 'C 2 -2'
_cell_length_a 3.5626
_cell_length_b 4.9288
_cell_length_c 10.1443
_cell_angle_alpha 90.00
_cell_angle_beta 90.00
_cell_angle_gamma 90.00
loop_
_atom_site_label
_atom_site_type_symbol
_atom_site_fract_x
_atom_site_fract_y
_atom_site_fract_z
Si1 Si 0.0000 0.0000 0.0000
Te1 Te 0.0000 0.0000 0.6037
Te2 Te 0.0000 0.5000 0.2672
W1 W 0.0000 0.5000 0.8238
```

13.
LiMnSbTe2: optimized geometry, PBE.

- ρ (g cm⁻³) = 5.9
- Fermi-level density of states (states/eV/f.u.) = 6.330
- polymorph energy (0 for the lowest one) (meV/atom) = 888
- formation energy from raw total energies (eV/atom) = 0.960
- total magnetization (μB per atom) = 0.03
- electronic total energy (eV/atom) = -3.34

CIF file:
```
data_LiMnSbTe2
_space_group_name_H-M_alt 'P 4/m m m'
_space_group_IT_number 123
_space_group_name_Hall '-P 4 2'
_cell_length_a 5.0831
_cell_length_b 5.0831
_cell_length_c 4.7908
_cell_angle_alpha 90.00
_cell_angle_beta 90.00
_cell_angle_gamma 90.00
loop_
_atom_site_label
_atom_site_type_symbol
_atom_site_fract_x
_atom_site_fract_y
_atom_site_fract_z
Li1 Li 0.0000 0.0000 0.0000
Mn1 Mn 0.5000 0.5000 0.5000
Sb1 Sb 0.0000 0.0000 0.5000
Te1 Te 0.0000 0.5000 0.0000
```

14.
Cr2CdPb: optimized geometry, PBE.

- ρ (g cm⁻³) = 8.9
- Fermi-level density of states (states/eV/f.u.) = 2.220
- formation energy from the elements (eV/f.u.) = 1.4
- total magnetization (μB per atom) = 0.01
- electronic total energy (eV/atom) = -5.62

CIF file:
```
data_Cr2CdPb
_space_group_name_H-M_alt 'P 1 m 1'
_space_group_IT_number 6
_space_group_name_Hall 'P -2y'
_cell_length_a 3.1167
_cell_length_b 3.1167
_cell_length_c 8.3038
_cell_angle_alpha 90.00
_cell_angle_beta 100.75
_cell_angle_gamma 90.00
loop_
_atom_site_label
_atom_site_type_symbol
_atom_site_fract_x
_atom_site_fract_y
_atom_site_fract_z
Cr1 Cr 0.0000 0.0000 0.0000
Cr2 Cr 0.4342 0.5000 0.8674
Cd1 Cd 0.6188 0.5000 0.2394
Pb1 Pb 0.8006 0.0000 0.6013
```